Entry 1:
CaNi2P (PBE, optimized geometry); total magnetization = 0.00 μB/f.u.; space-group type = No. 216; E = -0.34799 Ry/atom; energy of formation = 8.9 meV per atom
1.0
-0.8707 -3.2841 -2.7859
1.3955 -4.0688 0.8956
-2.8885 -3.1179 1.1135
P Ca Ni
1 1 2
Direct
0.7500 0.7500 0.7500
0.5000 0.5000 0.5000
0.2500 0.2500 0.2500
0.0000 0.0000 0.0000

***

Entry 2:
Ca3Ni2P3 (PBE, optimized geometry); total magnetization = 0.00 μB/f.u.; space-group type = No. 63; E = -0.37874 Ry/atom; energy of formation = -928.4 meV per atom
1.0
3.9437 0.0000 0.0000
-1.9719 5.2338 0.0000
0.0000 0.0000 14.5668
Ca Ni P
6 4 6
Direct
0.1513 0.3026 0.9056
0.1513 0.3026 0.5944
0.8487 0.6974 0.4056
0.4497 0.8994 0.7500
0.8487 0.6974 0.0944
0.5503 0.1006 0.2500
0.8663 0.7325 0.6184
0.1337 0.2675 0.1184
0.8663 0.7325 0.8816
0.1337 0.2675 0.3816
0.4253 0.8506 0.5570
0.2572 0.5144 0.2500
0.4253 0.8506 0.9430
0.5747 0.1494 0.4430
0.7428 0.4856 0.7500
0.5747 0.1494 0.0570